Entry 1:
Compound: BaNa2BS4
Source: the Alexandria database
Functional: PBE
Structure: relaxed

Results
- Formation energy (no corrections): -94.2 kJ per mole of atoms
- Density of states at the Fermi level: 0.874 states/eV/atom
- Raw total energy: -35.556 eV/cell
- Total moment: 0.110 μB per atom

Cell lengths 6.246, 6.246, 6.246 Å; angles 112.55, 112.55, 103.48 degrees
Atoms (fractional coordinates):
Ba  0.000  0.000  0.000
Na  0.250  0.750  0.500
Na  0.750  0.250  0.500
B  0.500  0.500  0.000
S  0.199  0.199  0.666
S  0.466  0.801  0.000
S  0.534  0.534  0.334
S  0.801  0.466  0.000

=====

Entry 2:
Compound: Ba3NaB2S6
Source: the Alexandria database
Functional: PBE
Structure: relaxed

Results
- Formation energy (no corrections): -119.5 kJ per mole of atoms
- Density of states at the Fermi level: 0.291 states/eV/atom
- Raw total energy: -60.067 eV/cell
- Total moment: 0.000 μB per atom

Cell lengths 6.843, 6.843, 8.276 Å; angles 90.00, 90.00, 120.00 degrees
Atoms (fractional coordinates):
Ba  0.000  0.000  0.000
Ba  0.333  0.667  0.630
Ba  0.667  0.333  0.370
Na  0.000  0.000  0.500
B  0.333  0.667  0.264
B  0.667  0.333  0.736
S  0.180  0.360  0.282
S  0.180  0.820  0.282
S  0.360  0.180  0.718
S  0.640  0.820  0.282
S  0.820  0.180  0.718
S  0.820  0.640  0.718

=====

Entry 3:
Compound: Ba2NaBSe
Source: the Alexandria database
Functional: PBE
Structure: relaxed

Results
- Formation energy (no corrections): 11.7 kJ per mole of atoms
- Density of states at the Fermi level: 0.896 states/eV/atom
- Raw total energy: -14.720 eV/cell
- Total moment: 0.000 μB per atom

Cell lengths 6.394, 6.394, 4.394 Å; angles 90.00, 90.00, 90.00 degrees
Atoms (fractional coordinates):
Ba  0.000  0.500  0.000
Ba  0.500  0.000  0.000
Na  0.000  0.000  0.500
B  0.500  0.500  0.500
Se  0.500  0.500  0.000

=====

Entry 4:
Compound: BaNa2SrB
Source: the Alexandria database
Functional: PBE
Structure: relaxed

Results
- Density of states at the Fermi level: 1.178 states/eV/atom
- Raw total energy: -4.216 eV/cell
- Total moment: 0.200 μB per atom

Cell lengths 6.784, 6.784, 7.841 Å; angles 90.00, 90.00, 90.00 degrees
Atoms (fractional coordinates):
Ba  0.000  0.000  0.000
Na  0.000  0.500  0.000
Na  0.500  0.000  0.000
Sr  0.000  0.000  0.500
B  0.500  0.500  0.500

=====

Entry 5:
Compound: Ba2NaTcB
Source: the Alexandria database
Functional: PBE
Structure: relaxed

Results
- Density of states at the Fermi level: 0.791 states/eV/atom
- Raw total energy: -19.888 eV/cell
- Total moment: 0.215 μB per atom

Cell lengths 6.093, 6.093, 4.202 Å; angles 90.00, 90.00, 90.00 degrees
Atoms (fractional coordinates):
Ba  0.000  0.500  0.000
Ba  0.500  0.000  0.000
Na  0.000  0.000  0.500
Tc  0.500  0.500  0.500
B  0.500  0.500  0.000

=====

Entry 6:
Compound: BaNaTlB2
Source: the Alexandria database
Functional: PBE
Structure: relaxed

Results
- Density of states at the Fermi level: 1.096 states/eV/atom
- Raw total energy: -10.004 eV/cell
- Total moment: 0.001 μB per atom

Cell lengths 5.316, 5.316, 6.400 Å; angles 90.00, 90.00, 90.00 degrees
Atoms (fractional coordinates):
Ba  0.000  0.000  0.000
Na  0.500  0.500  0.500
Tl  0.000  0.000  0.500
B  0.000  0.500  0.000
B  0.500  0.000  0.000